Below is a geometry-optimized Tm2In4Ag structure, with properties calculated at the PBE level.

a b c (Å): 7.883 6.926 5.745
angles (deg): 76.31 58.61 45.08
Fractional coordinates of all 7 atoms:
Tm 0.139 0.139 0.861
Tm 0.861 0.861 0.139
In 0.000 0.000 0.500
In 0.250 0.250 0.250
In 0.500 0.500 0.000
In 0.750 0.750 0.750
Ag 0.500 0.500 0.500

Results
DFT formation energy, eV per atom: -0.12
Total magnetic moment, μB per formula unit: 0.0
E, eV per atom: -3.37

Below is a geometry-optimized B5C3 structure, with properties calculated at the PBE level.

a b c (Å): 2.724 2.724 7.747
angles (deg): 90.00 90.00 90.00
Fractional coordinates of all 8 atoms:
B 0.000 0.000 0.000
B 0.000 0.500 0.383
B 0.000 0.500 0.840
B 0.500 0.000 0.160
B 0.500 0.000 0.617
C 0.000 0.000 0.500
C 0.500 0.500 0.255
C 0.500 0.500 0.745

Results
DFT formation energy, eV per atom: 0.49
Energy relative to the lowest polymorph listed for this composition, eV/f.u.: 1.79
Total magnetic moment, μB per formula unit: 0.0
E, eV per atom: -7.14

Below is a geometry-optimized TiCu3Ir structure, with properties calculated at the PBE level.

a b c (Å): 4.572 4.572 4.572
angles (deg): 90.00 90.00 90.00
Fractional coordinates of all 5 atoms:
Ti 0.000 0.000 0.000
Cu 0.000 0.500 0.500
Cu 0.500 0.000 0.500
Cu 0.500 0.500 0.000
Ir 0.500 0.500 0.500

Results
DFT formation energy, eV per atom: 1.09
Energy relative to the lowest polymorph listed for this composition, eV/f.u.: 0.00
Total magnetic moment, μB per formula unit: 0.0
E, eV per atom: -4.72

Below is a geometry-optimized Sr2SiSbRh6 structure, with properties calculated at the PBE level.

a b c (Å): 6.683 6.683 6.683
angles (deg): 120.04 119.96 90.00
Fractional coordinates of all 10 atoms:
Sr 0.250 0.250 0.000
Sr 0.750 0.750 0.000
Si 0.500 0.000 0.500
Sb 0.000 0.500 0.500
Rh 0.264 0.236 0.500
Rh 0.264 0.764 0.028
Rh 0.264 0.764 0.500
Rh 0.736 0.236 0.500
Rh 0.736 0.236 0.972
Rh 0.736 0.764 0.500

Results
Formation energy (no corrections), meV per atom: -184
Total magnetic moment, μB per formula unit: 0.0
E, eV per atom: -5.89

Below is a geometry-optimized NdSc4Bi5 structure, with properties calculated at the PBE level.

a b c (Å): 11.459 11.459 11.459
angles (deg): 158.21 148.74 38.43
Fractional coordinates of all 10 atoms:
Nd 0.000 0.000 0.000
Sc 0.205 0.205 0.000
Sc 0.400 0.400 0.000
Sc 0.600 0.600 0.000
Sc 0.795 0.795 0.000
Bi 0.109 0.609 0.500
Bi 0.302 0.802 0.500
Bi 0.500 0.000 0.500
Bi 0.698 0.198 0.500
Bi 0.891 0.391 0.500

Results
DFT formation energy, eV per atom: -0.70
Total magnetic moment, μB per formula unit: 0.0
E, eV per atom: -5.65

Below is a geometry-optimized Li2ErCd2In2 structure, with properties calculated at the PBE level.

a b c (Å): 8.037 8.037 8.037
angles (deg): 35.17 35.17 35.17
Fractional coordinates of all 7 atoms:
Li 0.142 0.142 0.142
Li 0.858 0.858 0.858
Er 0.000 0.000 0.000
Cd 0.431 0.431 0.431
Cd 0.569 0.569 0.569
In 0.270 0.270 0.270
In 0.730 0.730 0.730

Results
DFT formation energy, eV per atom: -0.28
Total magnetic moment, μB per formula unit: 0.0
E, eV per atom: -2.52